The following is a DFT calculation (PBE+U) of a relaxed structure of CaVF4.

Summary:
- M_tot: 3.0 μB per formula unit
- Symmetry: Fdd2
- Theoretical density: 3.2 g cm⁻³
- Energy above the most stable polymorph in this dataset: 0 meV/atom

Cell: 6.331 5.892 7.136 Å, 57.20 51.47 71.33°
Atoms (fractional coordinates):
Ca: 0.000 0.000 0.000
Ca: 0.250 0.250 0.250
V: 0.498 0.498 0.502
V: 0.748 0.748 0.752
F: 0.184 0.789 0.512
F: 0.249 0.277 0.928
F: 0.277 0.249 0.546
F: 0.322 0.704 0.001
F: 0.704 0.322 0.973
F: 0.735 0.738 0.461
F: 0.738 0.735 0.066
F: 0.789 0.184 0.515